# 1
Below is a relaxed CuSi2Hg crystal, with properties calculated at the PBE-GGA level.

V   17.26 Å³ per atom
Calculated density   7.70 g/cm³
Formation energy from raw total energies   532 meV/atom
Spin magnetization   0.0 μB per cell
DFT total energy   -13.12 eV per formula unit

```
CuSi2Hg
1.0
4.6686 -0.0712 0.0000
-1.6199 4.3791 0.0000
0.0000 0.0000 3.3962
Si Cu Hg
2 1 1
direct
0.0000 0.0000 0.0000
0.5000 0.5000 0.0000
0.5000 0.0000 0.5000
0.0000 0.5000 0.5000
```

# 2
Below is a relaxed SmAgRh crystal, with properties calculated at the PBE-GGA level.

V   20.92 Å³ per atom
Calculated density   9.56 g/cm³
DFT formation energy   -1.25 eV per formula unit
Spin magnetization   0.0 μB per cell
DFT total energy   -16.17 eV per formula unit

```
SmAgRh
1.0
-1.7838 1.6008 4.8205
-4.7284 -0.7972 2.4396
6.9914 -4.0474 -0.3689
Sm Ag Rh
2 2 2
direct
0.4866 0.9509 0.5447
0.8825 0.8588 0.0576
0.5877 0.5661 0.0587
0.1922 0.9097 0.7983
0.2020 0.4238 0.3022
0.7868 0.2432 0.5383
```

# 3
Below is a relaxed Tm3HgN crystal, with properties calculated at the PBE-GGA level.

V   20.97 Å³ per atom
Calculated density   11.42 g/cm³
Formation energy from raw total energies   -972 meV/atom
Spin magnetization   0.0 μB per cell
DFT total energy   -26.90 eV per formula unit

```
Tm3HgN
1.0
-3.9515 0.0897 -2.5720
2.4366 -1.3867 -3.7918
-0.8285 -4.5063 1.1156
N Hg Tm
1 1 3
direct
0.0000 0.0000 0.0000
0.5000 0.5000 0.5000
0.0000 0.5000 0.0000
0.0000 0.0000 0.5000
0.5000 0.0000 0.0000
```

# 4
Below is a relaxed TbBiC crystal, with properties calculated at the PBE-GGA level.

V   25.88 Å³ per atom
Calculated density   8.13 g/cm³
DFT formation energy   -0.04 eV per formula unit
Spin magnetization   0.0 μB per cell
DFT total energy   -17.77 eV per formula unit

```
TbBiC
1.0
4.3547 0.0000 0.0000
0.0000 4.1509 0.0000
-2.1773 -2.0754 8.5894
Tb C Bi
2 2 2
direct
0.1110 0.6110 0.2220
0.8890 0.3890 0.7780
0.6444 0.5000 0.0000
0.3556 0.5000 0.0000
0.3103 0.8103 0.6206
0.6897 0.1897 0.3794
```

# 5
Below is a relaxed AcCeTlGa crystal, with properties calculated at the PBE-GGA level.

V   30.22 Å³ per atom
Calculated density   8.81 g/cm³
DFT formation energy   -1.18 eV per formula unit
Spin magnetization   1.0 μB per cell
DFT total energy   -16.61 eV per formula unit

```
AcCeTlGa
1.0
5.5498 0.0000 0.0000
2.7749 4.8063 0.0000
2.7749 1.6021 4.5314
Tl Ga Ac Ce
1 1 1 1
direct
0.7500 0.7500 0.7500
0.2500 0.2500 0.2500
0.5000 0.5000 0.5000
0.0000 0.0000 0.0000
```

# 6
Below is a relaxed CuNi2Pd5 crystal, with properties calculated at the PBE-GGA level.

V   14.33 Å³ per atom
Calculated density   10.33 g/cm³
DFT formation energy   0.61 eV per formula unit
Spin magnetization   5.9 μB per cell
DFT total energy   -41.01 eV per formula unit

```
CuNi2Pd5
1.0
6.4421 0.0000 0.0000
0.0000 6.4421 0.0000
-3.2210 -3.2210 5.5263
Pd Ni Cu
10 4 2
direct
0.8121 0.9992 0.3113
0.9992 0.4992 0.3113
0.6879 0.1879 0.6887
0.3121 0.8121 0.3113
0.5000 0.5000 0.0000
0.0000 0.0000 0.0000
0.4992 0.3121 0.3113
0.0008 0.5008 0.6887
0.1879 0.0008 0.6887
0.5008 0.6879 0.6887
0.8671 0.6329 0.0000
0.1329 0.3671 0.0000
0.3671 0.8671 0.0000
0.6329 0.1329 0.0000
0.2500 0.2500 0.5000
0.7500 0.7500 0.5000
```

# 7
Below is a relaxed Al2CuNi3 crystal, with properties calculated at the PBE-GGA level.

V   13.44 Å³ per atom
Calculated density   6.05 g/cm³
DFT formation energy   -0.80 eV per formula unit
Spin magnetization   0.0 μB per cell
DFT total energy   -29.73 eV per formula unit

```
Al2CuNi3
1.0
-3.3874 2.1763 2.7484
1.1949 -4.6522 0.8332
2.7789 1.1624 2.5046
Al Ni Cu
2 3 1
direct
0.3333 0.6667 0.0000
0.6667 0.3333 0.0000
0.5000 0.5000 0.5000
0.5000 0.0000 0.5000
0.0000 0.5000 0.5000
0.0000 0.0000 0.0000
```

# 8
Below is a relaxed CaHf3Tc crystal, with properties calculated at the PBE-GGA level.

V   26.33 Å³ per atom
Calculated density   8.50 g/cm³
DFT formation energy   1.69 eV per formula unit
Spin magnetization   0.0 μB per cell
DFT total energy   -40.54 eV per formula unit

```
CaHf3Tc
1.0
-0.7955 0.7744 -4.9643
1.5992 -4.7258 -0.9935
-4.7631 -1.7160 0.4956
Hf Tc Ca
3 1 1
direct
0.0000 0.5000 0.0000
0.0000 0.0000 0.5000
0.5000 0.0000 0.0000
0.0000 0.0000 0.0000
0.5000 0.5000 0.5000
```